Entry from Alexandria: a relaxed structure of Tb7Pr3Tl2 (GGA-PBE).

Summary:
symmetry	P2/m, No. 10
VASP energy	-0.159	hartree per atom

Lattice parameters (Å, degrees): 3.6493 5.7553 18.5748 93.52 90.00 90.00
Closest atoms and distances in Å follow each position.
Fractional positions:
Tb1 0.5000 0.7415 0.4599  1 Tl 3.11, 2 Tb 3.23-3.25
Tb2 0.5000 0.2585 0.5401  1 Tl 3.11, 2 Tb 3.23-3.25
Tb3 0.0000 0.6763 0.1508  2 Tl 3.19, 5 Tb 3.42-3.46, 2 Pr 3.44
Tb4 0.0000 0.0000 0.0000  4 Pr 3.41, 8 Tb 3.46-3.70
Tb5 0.0000 0.3237 0.8492  2 Tl 3.19, 5 Tb 3.42-3.46, 2 Pr 3.44
Tb6 0.5000 0.8212 0.8324  8 Tb 3.42-3.70, 2 Tl 3.67-3.71, 1 Pr 3.72
Tb7 0.5000 0.1788 0.1676  8 Tb 3.42-3.70, 2 Tl 3.67-3.71, 1 Pr 3.72
Pr1 0.5000 0.5000 0.0000  10 Tb 3.41-3.72, 2 Pr 3.65
Pr2 0.0000 0.2241 0.3635  4 Tl 3.65-3.66, 2 Pr 3.65, 8 Tb 3.75-4.07
Pr3 0.0000 0.7759 0.6365  4 Tl 3.65-3.66, 2 Pr 3.65, 8 Tb 3.75-4.07
Tl1 0.5000 0.7083 0.2921  3 Tb 3.11-3.19
Tl2 0.5000 0.2917 0.7079  3 Tb 3.11-3.19

---

Entry from Alexandria: a relaxed structure of BiF4 (GGA-PBE).

Summary:
symmetry	P2/m, No. 10
ΔE_f (raw)	-1.96	eV per atom
relative energy among the computed polymorphs	62	meV per atom

Lattice parameters (Å, degrees): 3.8206 5.4588 3.8335 70.03 90.00 90.00
Closest atoms and distances in Å follow each position.
Fractional positions:
Bi1 0.5000 0.0000 0.0000  8 F 2.27
F1 0.0000 0.2383 0.8825  2 Bi 2.27, 1 F 2.44
F2 0.0000 0.7617 0.1175  2 Bi 2.27, 1 F 2.44
F3 0.5000 0.2378 0.3836  2 Bi 2.27, 1 F 2.44
F4 0.5000 0.7622 0.6164  2 Bi 2.27, 1 F 2.44

---

Entry from Alexandria: a relaxed structure of CaDy2Ta2Rh5 (GGA-PBE).

Summary:
symmetry	P4/mbm, No. 127
VASP energy	-0.280	hartree per atom

Lattice parameters (Å, degrees): 3.7796 10.2738 10.2738 90.00 90.00 90.00
Closest atoms and distances in Å follow each position.
Fractional positions:
Ca1 0.0000 0.0000 0.0000  8 Rh 3.02
Ca2 0.0000 0.5000 0.5000  8 Rh 3.02
Dy1 0.0000 0.6767 0.1767  3 Ta 2.95-3.10, 6 Rh 3.19-3.26
Dy2 0.0000 0.3233 0.8233  3 Ta 2.95-3.10, 6 Rh 3.19-3.26
Dy3 0.0000 0.1767 0.3233  3 Ta 2.95-3.10, 6 Rh 3.19-3.26
Dy4 0.0000 0.8233 0.6767  3 Ta 2.95-3.10, 6 Rh 3.19-3.26
Ta1 0.0000 0.1199 0.6199  6 Rh 2.57
Ta2 0.0000 0.8801 0.3801  6 Rh 2.57
Ta3 0.0000 0.6199 0.8801  6 Rh 2.57
Ta4 0.0000 0.3801 0.1199  6 Rh 2.57
Rh1 0.5000 0.2191 0.0680  2 Ta 2.57
Rh2 0.5000 0.7809 0.9320  2 Ta 2.57
Rh3 0.5000 0.0680 0.7809  2 Ta 2.57
Rh4 0.5000 0.7191 0.4320  2 Ta 2.57
Rh5 0.5000 0.9320 0.2191  2 Ta 2.57
Rh6 0.5000 0.2809 0.5680  2 Ta 2.57
Rh7 0.5000 0.5680 0.7191  2 Ta 2.57
Rh8 0.5000 0.4320 0.2809  2 Ta 2.57
Rh9 0.5000 0.5000 0.0000  4 Ta 2.57
Rh10 0.5000 0.0000 0.5000  4 Ta 2.57

---

Entry from Alexandria: a relaxed structure of Li3BeAg (GGA-PBE).

Summary:
symmetry	Pm-3m, No. 221
relative energy among the computed polymorphs	0	meV per atom

Lattice parameters (Å, degrees): 4.4733 4.4733 4.4733 90.00 90.00 90.00
Closest atoms and distances in Å follow each position.
Fractional positions:
Be1 0.0000 0.0000 0.0000  6 Li 2.24
Ag1 0.5000 0.5000 0.5000  12 Li 3.16
Li1 0.0000 0.5000 0.0000  2 Be 2.24
Li2 0.0000 0.0000 0.5000  2 Be 2.24
Li3 0.5000 0.0000 0.0000  2 Be 2.24

---

Entry from Alexandria: a relaxed structure of Cs2NaGd (GGA-PBE).

Summary:
symmetry	R-3m, No. 166
VASP energy	-0.140	hartree per atom

Lattice parameters (Å, degrees): 4.0534 4.0534 15.2299 82.35 82.35 60.00
Closest atoms and distances in Å follow each position.
Fractional positions:
Cs1 0.0852 0.0852 0.7443  1 Gd 3.85, 6 Cs 4.05
Cs2 0.9148 0.9148 0.2557  1 Gd 3.85, 6 Cs 4.05
Na1 0.5000 0.5000 0.5000  6 Na 4.05, 6 Cs 4.36
Gd1 0.0000 0.0000 0.0000  2 Cs 3.85, 6 Gd 4.05

---

Entry from Alexandria: a relaxed structure of AlIn2F (GGA-PBE).

Summary:
symmetry	Fm-3m, No. 225
ΔE_f (raw)	-0.52	eV per atom
relative energy among the computed polymorphs	0	meV per atom

Lattice parameters (Å, degrees): 4.8393 4.8393 4.8393 60.00 60.00 60.00
Closest atoms and distances in Å follow each position.
Fractional positions:
F1 0.0000 0.0000 0.0000  8 In 2.96
Al1 0.5000 0.5000 0.5000  8 In 2.96
In1 0.2500 0.2500 0.2500  4 F 2.96, 4 Al 2.96
In2 0.7500 0.7500 0.7500  4 F 2.96, 4 Al 2.96

---

Entry from Alexandria: a relaxed structure of CdAgIr2 (GGA-PBE).

Summary:
symmetry	I4/mmm, No. 139
VASP energy	-0.181	hartree per atom

Lattice parameters (Å, degrees): 5.1553 5.1553 5.1553 135.45 135.45 64.83
Closest atoms and distances in Å follow each position.
Fractional positions:
Ir1 0.0000 0.0000 0.0000  4 Ir 2.76, 4 Cd 2.92, 4 Ag 2.92
Ir2 0.5000 0.5000 0.0000  4 Ir 2.76, 4 Ag 2.92, 4 Cd 2.92
Ag1 0.2500 0.7500 0.5000  4 Cd 2.76, 8 Ir 2.92
Cd1 0.7500 0.2500 0.5000  4 Ag 2.76, 8 Ir 2.92

---

Entry from Alexandria: a relaxed structure of CsCd3W (GGA-PBE).

Summary:
symmetry	Pm-3m, No. 221
relative energy among the computed polymorphs	1156	meV per atom

Lattice parameters (Å, degrees): 6.8748 6.8748 6.8748 90.00 90.00 90.00
Closest atoms and distances in Å follow each position.
Fractional positions:
Cs1 0.0000 0.0000 0.0000  6 Cd 3.44
Cd1 0.0000 0.5000 0.0000  2 Cs 3.44
Cd2 0.0000 0.0000 0.5000  2 Cs 3.44
Cd3 0.5000 0.0000 0.0000  2 Cs 3.44
W1 0.5000 0.5000 0.5000  12 Cd 4.86

---

Short version: size of the total moment = 0.000, 0.000, 0.000, 0.000, 1.978, 0.000, 0.164, 1.044 μB per atom, in the order given.